Here is Te2PAu after structural relaxation from the Alexandria database. Energies are from PBEsol.

Values from the calculation:
**Theoretical density**: 8.8 g/cm³
**Spin magnetization**: 0.00 μB/f.u.
**Energy relative to the elements, uncorrected**: 0.342 eV per atom
**SG**: Cmm2
**Density of states at the Fermi level**: 2.10 states/eV/cell
**E_tot**: -3.850 eV/atom

Lattice parameters (Å, degrees): 3.233 3.233 9.422 90.00 90.00 112.87
Positions (direct):
P  0.500  0.500  0.289
Te  0.500  0.500  0.701
Au  0.000  0.000  0.467
Te  0.000  0.000  0.043

=====

Here is MnRePb3 after structural relaxation from the Alexandria database. Energies are from PBEsol.

Values from the calculation:
**Theoretical density**: 9.8 g/cm³
**Spin magnetization**: 4.31 μB/f.u.
**SG**: Pm-3m
**Density of states at the Fermi level**: 2.80 states/eV/cell
**Energy above the lowest structure with this stoichiometry**: 0 meV/atom
**E_tot**: -5.939 eV/atom
**Formation enthalpy at 0 K**: 1.08 eV per atom

Lattice parameters (Å, degrees): 5.266 5.266 5.266 90.00 90.00 90.00
Each line ends with the local moment (μB).
Positions (direct):
Pb  0.000  0.500  0.000  -0.03
Pb  0.000  0.000  0.500  -0.03
Mn  0.500  0.500  0.500  4.32
Pb  0.500  0.000  0.000  -0.03
Re  0.000  0.000  0.000  -0.08